[1]
First-principles (PBE+U) data for crystalline VSn3F at its relaxed geometry, as listed in Alexandria via LeMat-Bulk.

```
VSn3F
1.0
5.1769 0.0000 0.0000
0.0000 5.1769 0.0000
0.0000 0.0000 5.1769
Sn F V
3 1 1
Cartesian
0.0000 0.0000 2.5884
0.0000 2.5884 0.0000
2.5884 0.0000 0.0000
2.5884 2.5884 2.5884
0.0000 0.0000 0.0000
```

Space group = Pm-3m

=====

[2]
First-principles (PBE+U) data for crystalline V2InClF at its relaxed geometry, as listed in Alexandria via LeMat-Bulk.

```
V2InClF
1.0
4.6726 0.0000 0.0000
0.0000 5.3123 0.0000
0.0000 0.0000 4.6726
F Cl V In
1 1 2 1
Cartesian
0.0000 2.6561 0.0000
0.0000 0.0000 0.0000
0.0000 0.0000 2.3363
2.3363 0.0000 0.0000
2.3363 2.6561 2.3363
```

Space group = P4/mmm

=====

| no. | raw total energy (eV for the cell shown) |
| --- | --- |
| 1 | -20.66 |
| 2 | -20.16 |